# AlCrNi2O

A crystal of AlCrNi2O relaxed with PBEsol (SCAN, Alexandria).

Cell lengths 4.038, 4.038, 4.767 Å; angles 90.00, 90.00, 90.00 degrees
Space group P4/mmm (No. 123)
Inequivalent atoms, fractional coordinates:
Al (0.000, 0.000, 0.000) x1
Cr (0.000, 0.000, 0.500) x1
Ni (0.000, 0.500, 0.500) x2
O (0.500, 0.500, 0.000) x1

## Properties
Formation energy from raw total energies   1406 meV/atom
Uncorrected energy   -11.537 eV/atom
Magnetic moment   2.91 Bohr magnetons per cell